Material: CePm2Ag
Method: DFT, PBE
State: optimized geometry

The formation energy is 0.13 eV/atom. Its space group is No. 225. As for the crystal system: cubic. The offset from the most stable computed form is 204.2 meV/atom.

a b c (Å): 5.3745 5.3745 5.3745
angles (deg): 60.00 60.00 60.00
Site moments in Bohr magnetons follow the coordinates.
Fractional positions:
Ag (0.5000, 0.5000, 0.5000)  0.02
Ce (0.0000, 0.0000, 0.0000)  1.07
Pm (0.2500, 0.2500, 0.2500)  0.29
Pm (0.7500, 0.7500, 0.7500)  0.29

***

Material: NaIn2W
Method: DFT, PBE
State: optimized geometry

The formation energy is 0.66 eV/atom. Its space group is No. 225. As for the crystal system: cubic. The offset from the most stable computed form is 0.0 meV/atom.

a b c (Å): 4.9018 4.9018 4.9018
angles (deg): 60.00 60.00 60.00
Site moments in Bohr magnetons follow the coordinates.
Fractional positions:
Na (0.0000, 0.0000, 0.0000)  -0.01
W (0.5000, 0.5000, 0.5000)  1.42
In (0.2500, 0.2500, 0.2500)  -0.04
In (0.7500, 0.7500, 0.7500)  -0.04

***

Material: SiSe
Method: DFT, PBE
State: optimized geometry

The calculation puts the energy relative to the elements, uncorrected at 0.64 eV per formula unit. Its space group is No. 191. As for the crystal system: hexagonal.

a b c (Å): 5.8386 5.8386 4.1874
angles (deg): 90.00 90.00 120.00
Fractional positions:
Si (0.5000, 0.0000, 0.0000)
Si (0.0000, 0.5000, 0.0000)
Si (0.5000, 0.5000, 0.0000)
Se (0.0000, 0.0000, 0.0000)
Se (0.3333, 0.6667, 0.5000)
Se (0.6667, 0.3333, 0.5000)

***

Material: Er2MgMn
Method: DFT, PBE
State: optimized geometry

The formation energy is 0.22 eV/atom. Its space group is No. 166. As for the crystal system: trigonal.

a b c (Å): 3.3750 3.3750 10.2826
angles (deg): 80.55 80.55 60.00
Site moments in Bohr magnetons follow the coordinates.
Fractional positions:
Mg (0.5000, 0.5000, 0.5000)  0.00
Mn (0.0000, 0.0000, 0.0000)  3.35
Er (0.2592, 0.2592, 0.2224)  -0.21
Er (0.7408, 0.7408, 0.7776)  -0.21

***

Material: TbPm4Sn4
Method: DFT, PBE
State: optimized geometry

The formation energy is -0.47 eV/atom. Its space group is No. 86. As for the crystal system: tetragonal.

a b c (Å): 6.4027 9.5413 9.5413
angles (deg): 90.00 90.00 90.00
Fractional positions:
Tb (0.0000, 0.0000, 0.0000)
Tb (0.5000, 0.5000, 0.5000)
Pm (0.3699, 0.2905, 0.9170)
Pm (0.8699, 0.5830, 0.7905)
Pm (0.3699, 0.7095, 0.0830)
Pm (0.1301, 0.2095, 0.5830)
Pm (0.6301, 0.9170, 0.7095)
Pm (0.1301, 0.7905, 0.4170)
Pm (0.8699, 0.4170, 0.2095)
Pm (0.6301, 0.0830, 0.2905)
Sn (0.6355, 0.7746, 0.3911)
Sn (0.6355, 0.2254, 0.6089)
Sn (0.1355, 0.8911, 0.7254)
Sn (0.8645, 0.2746, 0.8911)
Sn (0.8645, 0.7254, 0.1089)
Sn (0.3645, 0.3911, 0.2254)
Sn (0.3645, 0.6089, 0.7746)
Sn (0.1355, 0.1089, 0.2746)

***

Material: Sm3OsBr2
Method: DFT, PBE
State: optimized geometry

The calculation puts the energy relative to the elements, uncorrected at -5.10 eV per formula unit. Its space group is No. 71. As for the crystal system: orthorhombic.

a b c (Å): 4.0904 5.7752 8.2127
angles (deg): 110.59 104.42 90.00
Fractional positions:
Sm (0.6241, 0.6241, 0.2483)
Sm (0.0000, 0.0000, 0.0000)
Sm (0.3759, 0.3759, 0.7517)
Os (0.0000, 0.5000, 0.0000)
Br (0.3102, 0.8102, 0.6204)
Br (0.6898, 0.1898, 0.3796)

***

Material: Nd3CdRh
Method: DFT, PBE
State: optimized geometry

The formation energy is -0.22 eV/atom. Its space group is No. 221. As for the crystal system: cubic. The offset from the most stable computed form is 159.6 meV/atom.

a b c (Å): 5.5019 5.5019 5.5019
angles (deg): 90.00 90.00 90.00
Fractional positions:
Rh (0.0000, 0.0000, 0.0000)
Nd (0.0000, 0.5000, 0.0000)
Nd (0.0000, 0.0000, 0.5000)
Nd (0.5000, 0.0000, 0.0000)
Cd (0.5000, 0.5000, 0.5000)

***

Material: ScReHg2
Method: DFT, PBE
State: optimized geometry

The formation energy is 0.35 eV/atom. Its space group is No. 8. As for the crystal system: monoclinic. The offset from the most stable computed form is 95.8 meV/atom.

a b c (Å): 5.2654 5.2654 5.2044
angles (deg): 79.37 79.37 33.09
Fractional positions:
Hg (0.9963, 0.9963, 0.0004)
Hg (0.7590, 0.7590, 0.7437)
Re (0.5093, 0.5093, 0.4876)
Sc (0.2353, 0.2353, 0.2683)

***

Material: Pr6Pd2Rh
Method: DFT, PBE
State: optimized geometry

The formation energy is -0.48 eV/atom. Its space group is No. 14. As for the crystal system: monoclinic.

a b c (Å): 6.7953 7.5914 10.5751
angles (deg): 90.00 93.21 90.00
Fractional positions:
Pr (0.8441, 0.9576, 0.2461)
Pr (0.8302, 0.6742, 0.5724)
Pr (0.8344, 0.6854, 0.9314)
Pr (0.6656, 0.1854, 0.5686)
Pr (0.6698, 0.1742, 0.9276)
Pr (0.6559, 0.4576, 0.2539)
Pr (0.1559, 0.0424, 0.7539)
Pr (0.1698, 0.3258, 0.4276)
Pr (0.1656, 0.3146, 0.0686)
Pr (0.3344, 0.8146, 0.4314)
Pr (0.3302, 0.8258, 0.0724)
Pr (0.3441, 0.5424, 0.7461)
Pd (0.9382, 0.3843, 0.7682)
Pd (0.5618, 0.8843, 0.7318)
Pd (0.4382, 0.1157, 0.2682)
Pd (0.0618, 0.6157, 0.2318)
Rh (0.5000, 0.5000, 0.0000)
Rh (0.0000, 0.0000, 0.5000)

***

Material: Cs2NaAg2I7
Method: DFT, PBE
State: optimized geometry

The calculation puts the energy relative to the elements, uncorrected at -8.84 eV per formula unit. Its space group is No. 12. As for the crystal system: monoclinic.

a b c (Å): 5.8504 5.8504 15.5291
angles (deg): 78.99 78.99 89.99
Fractional positions:
Cs (0.8253, 0.8253, 0.3510)
Cs (0.1747, 0.1747, 0.6490)
Na (0.0000, 0.0000, 0.0000)
Ag (0.5963, 0.5963, 0.8062)
Ag (0.4037, 0.4037, 0.1938)
I (0.5000, 0.5000, 0.0000)
I (0.3066, 0.3066, 0.3862)
I (0.6934, 0.6934, 0.6138)
I (0.9181, 0.4196, 0.1658)
I (0.4196, 0.9181, 0.1658)
I (0.5804, 0.0819, 0.8342)
I (0.0819, 0.5804, 0.8342)

***

Material: PPdN3
Method: DFT, PBE
State: optimized geometry

The calculation puts the energy relative to the elements, uncorrected at 5.93 eV per formula unit. Its space group is No. 221. As for the crystal system: cubic.

a b c (Å): 3.5195 3.5195 3.5195
angles (deg): 90.00 90.00 90.00
Fractional positions:
P (0.0000, 0.0000, 0.0000)
Pd (0.5000, 0.5000, 0.5000)
N (0.0000, 0.5000, 0.0000)
N (0.0000, 0.0000, 0.5000)
N (0.5000, 0.0000, 0.0000)

***

Material: TlHO
Method: DFT, PBE
State: optimized geometry

Its space group is No. 11. As for the crystal system: monoclinic. The offset from the most stable computed form is 3.3 meV/atom.

a b c (Å): 4.9646 3.8391 6.4484
angles (deg): 90.00 109.38 90.00
Fractional positions:
Tl (0.1536, 0.2500, 0.7840)
Tl (0.8464, 0.7500, 0.2160)
H (0.5423, 0.2500, 0.4410)
H (0.4577, 0.7500, 0.5590)
O (0.7371, 0.2500, 0.4362)
O (0.2629, 0.7500, 0.5638)

***

Material: Dy2MnP
Method: DFT, PBE
State: optimized geometry

The formation energy is -0.12 eV/atom. Its space group is No. 166. As for the crystal system: trigonal.

a b c (Å): 3.7295 3.7295 9.5055
angles (deg): 78.69 78.69 60.00
Site moments in Bohr magnetons follow the coordinates.
Fractional positions:
P (0.5000, 0.5000, 0.5000)  0.01
Mn (0.0000, 0.0000, 0.0000)  4.06
Dy (0.1080, 0.1080, 0.6760)  -0.22
Dy (0.8920, 0.8920, 0.3240)  -0.22

***

Material: RbNaPPt
Method: DFT, PBE
State: optimized geometry

The formation energy is -0.43 eV/atom. Its space group is No. 38. As for the crystal system: orthorhombic.

a b c (Å): 4.2437 4.8844 6.3583
angles (deg): 112.59 90.00 90.00
Fractional positions:
Rb (0.5000, 0.2646, 0.5291)
Na (0.0000, 0.9880, 0.9761)
P (0.0000, 0.6213, 0.2426)
Pt (0.5000, 0.5564, 0.1129)

***

Material: Ac4Pm4Nd
Method: DFT, PBE
State: optimized geometry

The formation energy is 0.04 eV/atom. Its space group is No. 139. As for the crystal system: tetragonal.

a b c (Å): 5.3702 8.5239 8.5239
angles (deg): 84.31 71.64 71.64
Fractional positions:
Ac (0.3335, 0.3330, 0.0000)
Ac (0.6665, 0.6670, 0.0000)
Ac (0.6665, 0.0000, 0.6670)
Ac (0.3335, 0.0000, 0.3330)
Pm (0.0000, 0.6603, 0.3397)
Pm (0.0000, 0.3397, 0.6603)
Pm (0.6603, 0.3397, 0.3397)
Pm (0.3397, 0.6603, 0.6603)
Nd (0.0000, 0.0000, 0.0000)

***

Material: SmHo2Ga
Method: DFT, PBE
State: optimized geometry

The formation energy is -0.29 eV/atom. Its space group is No. 123. As for the crystal system: tetragonal. The offset from the most stable computed form is 0.0 meV/atom.

a b c (Å): 3.5205 3.5205 8.9171
angles (deg): 90.00 90.00 90.00
Fractional positions:
Ga (0.5000, 0.5000, 0.0000)
Ho (0.0000, 0.0000, 0.7932)
Ho (0.0000, 0.0000, 0.2068)
Sm (0.5000, 0.5000, 0.5000)

***

Material: Ba2YBiOs
Method: DFT, PBE
State: optimized geometry

The formation energy is 0.49 eV/atom. Its space group is No. 123. As for the crystal system: tetragonal.

a b c (Å): 6.1177 5.2668 6.1177
angles (deg): 90.00 90.00 90.00
Fractional positions:
Y (0.5000, 0.5000, 0.5000)
Os (0.0000, 0.0000, 0.0000)
Bi (0.0000, 0.5000, 0.0000)
Ba (0.0000, 0.0000, 0.5000)
Ba (0.5000, 0.0000, 0.0000)

***

Material: RbZn2Ga4
Method: DFT, PBE
State: optimized geometry

The formation energy is 0.00 eV/atom. Its space group is No. 136. As for the crystal system: tetragonal.

a b c (Å): 4.0217 8.7844 8.7844
angles (deg): 90.00 90.00 90.00
Fractional positions:
Rb (0.5000, 0.0000, 0.0000)
Rb (0.0000, 0.5000, 0.5000)
Zn (0.0000, 0.2280, 0.7720)
Zn (0.0000, 0.7720, 0.2280)
Zn (0.5000, 0.7280, 0.7280)
Zn (0.5000, 0.2720, 0.2720)
Ga (0.0000, 0.0525, 0.3465)
Ga (0.0000, 0.9475, 0.6535)
Ga (0.5000, 0.1535, 0.5525)
Ga (0.5000, 0.8465, 0.4475)
Ga (0.5000, 0.4475, 0.8465)
Ga (0.5000, 0.5525, 0.1535)
Ga (0.0000, 0.3465, 0.0525)
Ga (0.0000, 0.6535, 0.9475)

***

Material: Ca4Zn2H
Method: DFT, PBE
State: optimized geometry

The uncorrected energy comes out at -2.176 eV/atom. Its space group is No. 139. As for the crystal system: tetragonal.

a b c (Å): 4.7120 4.7120 8.8922
angles (deg): 74.64 74.64 90.00
Fractional positions:
H (0.0000, 0.0000, 0.0000)
Zn (0.6280, 0.6280, 0.7440)
Zn (0.3720, 0.3720, 0.2560)
Ca (0.8171, 0.8171, 0.3658)
Ca (0.1829, 0.1829, 0.6342)
Ca (0.0000, 0.5000, 0.0000)
Ca (0.5000, 0.0000, 0.0000)

***

Material: BaLiCuPd
Method: DFT, PBE
State: optimized geometry

The formation energy is -0.27 eV/atom. Its space group is No. 8. As for the crystal system: monoclinic.

a b c (Å): 4.4648 4.4507 6.1449
angles (deg): 111.13 90.00 120.10
Fractional positions:
Ba (0.6186, 0.2372, 0.4980)
Li (0.1156, 0.2312, 0.9894)
Cu (0.8078, 0.6155, 0.0650)
Pd (0.4243, 0.8487, 0.9150)

***

What V values result from the calculations? In sequence: 110, 83, 124, 100, 583, 175, 167, 77, 545, 512, 44, 116, 112, 122, 351, 111, 197, 310, 183, 96 Å³ per cell.
What DOS(E_F) values result from the calculations? In sequence: 8.789, 3.211, 1.944, 4.324, 16.094, 4.763, 5.215, 2.605, 18.531, 3.481, 3.115, 0.000, 3.026, 0.566, 15.702, 3.528, 5.925, 3.410, 4.398, 2.128 states/eV/cell.